Material: MnIn2Sb
Method: DFT, PBE
State: relaxed

Results
Raw formation energy: 0.138 eV/atom
Fermi-level density of states: 2.7 states/eV per cell
Size of the total moment: 3.09 Bohr magnetons per cell

a = 3.064 Å, b = 3.539 Å, c = 8.759 Å
α = 90.00°, β = 92.36°, γ = 90.00°
Space group Pm (No. 6)
Unique sites:
Mn  0.000  0.000  0.000 (multiplicity 1)
In  0.415  0.000  0.500 (multiplicity 1)
In  0.530  0.500  0.204 (multiplicity 1)
Sb  0.479  0.500  0.823 (multiplicity 1)